Model w:
ScRh3N: relaxed, PBE.

Cell lengths 4.6874, 4.6874, 4.6874 Å; angles 90.00, 90.00, 90.00 degrees
With the nearest neighbours (Å) after each atom.
Positions (direct):
Rh  0.0000  0.0000  0.5000  2 Sc 2.34
N  0.5000  0.5000  0.5000  12 Rh 3.31
Rh  0.5000  0.0000  0.0000  2 Sc 2.34
Rh  0.0000  0.5000  0.0000  2 Sc 2.34
Sc  0.0000  0.0000  0.0000  6 Rh 2.34



Model x:
ScRh3N: relaxed, PBE.

Cell lengths 4.1167, 4.1167, 4.1167 Å; angles 90.00, 90.00, 90.00 degrees
With the nearest neighbours (Å) after each atom.
Positions (direct):
Rh  0.5000  0.0000  0.0000  2 N 2.06
N  0.0000  0.0000  0.0000  6 Rh 2.06
Rh  0.0000  0.5000  0.0000  2 N 2.06
Sc  0.5000  0.5000  0.5000  12 Rh 2.91
Rh  0.0000  0.0000  0.5000  2 N 2.06



Looking at the structures above, which would you pick as the most stable? I would pick model x.